1.
Density functional theory data (PBE-GGA) for Ac12Co5Au after structural relaxation.

Results
Its space group is No. 12. The formation energy is -95 meV per atom.

a b c (Å): 7.4778 7.4778 13.7188
angles (deg): 89.82 89.82 121.18
Sites, in units of the cell vectors:
Ac1 0.1634 0.1634 0.6123
Ac2 0.8366 0.8366 0.3877
Ac3 0.3613 0.3613 0.1183
Ac4 0.6387 0.6387 0.8817
Ac5 0.6429 0.0022 0.1166
Ac6 0.9978 0.3571 0.8834
Ac7 0.0022 0.6429 0.1166
Ac8 0.3571 0.9978 0.8834
Ac9 0.5027 0.1703 0.3902
Ac10 0.1703 0.5027 0.3902
Ac11 0.8297 0.4973 0.6098
Ac12 0.4973 0.8297 0.6098
Co1 0.5000 0.5000 0.5000
Co2 0.8338 0.1662 0.5000
Co3 0.1662 0.8338 0.5000
Co4 0.3345 0.6655 0.0000
Co5 0.6655 0.3345 0.0000
Au1 0.0000 0.0000 0.0000

=====

2.
Density functional theory data (PBE-GGA) for MoSe3 after structural relaxation.

Results
Its space group is No. 25. For the formation energy (no corrections), the calculation gives 175.3 meV per atom.

a b c (Å): 3.8094 3.8600 6.7640
angles (deg): 90.00 90.00 90.00
Last column: magnetic moment on the atom in μB.
Sites, in units of the cell vectors:
Mo1 0.0000 0.0000 0.0873  0.71
Se1 0.5000 0.0000 0.3382  -0.03
Se2 0.5000 0.5000 0.9067  0.03
Se3 0.0000 0.5000 0.3345  -0.03

=====

3.
Density functional theory data (PBE-GGA) for KBi2Mo after structural relaxation.

Results
Its excess energy over the best structure of this formula in the dataset is 0.0 meV per atom. Its space group is No. 122. The formation energy is 495 meV per atom.

a b c (Å): 6.9787 6.9787 9.2616
angles (deg): 67.87 67.87 90.00
Sites, in units of the cell vectors:
K1 0.5000 0.5000 0.0000
K2 0.2500 0.7500 0.5000
Mo1 0.0000 0.0000 0.0000
Mo2 0.7500 0.2500 0.5000
Bi1 0.8599 0.1250 0.2500
Bi2 0.8901 0.6250 0.2500
Bi3 0.3750 0.1401 0.7500
Bi4 0.8750 0.1099 0.7500

=====

4.
Density functional theory data (PBE-GGA) for NaAcTl4O8 after structural relaxation.

Results
Its space group is No. 160. For the formation energy (no corrections), the calculation gives -1207.3 meV per atom.

a b c (Å): 6.9643 6.9643 6.8748
angles (deg): 59.57 59.57 60.00
Sites, in units of the cell vectors:
Na1 0.0006 0.0006 0.9983
Ac1 0.3841 0.3841 0.8477
Tl1 0.6174 0.6174 0.1479
Tl2 0.0022 0.4955 0.5002
Tl3 0.4955 0.0022 0.5002
Tl4 0.0022 0.0022 0.5002
O1 0.2429 0.7964 0.7179
O2 0.7964 0.2429 0.7179
O3 0.2429 0.2429 0.7179
O4 0.2411 0.2411 0.2767
O5 0.7491 0.2237 0.2782
O6 0.2237 0.7491 0.2782
O7 0.7491 0.7491 0.2782
O8 0.7531 0.7531 0.7407

=====

The following total energy values (in eV per formula unit) correspond, in order, to the records above: -89.809; -20.584; -17.712; -71.461.